Entry 1:
# TiSb2SeCl | Alexandria via LeMat-Bulk | PBE | relaxed
# E = -3.854 eV/atom
# D(E_F) = 5.661 states/eV per cell
# raw formation energy = 0.44 eV per atom
data_TiSb2SeCl
_chemical_formula_sum 'Ti1 Sb2 Se1 Cl1'
_space_group_name_H-M_alt 'P 4/m m m'
_space_group_IT_number 123
_space_group_name_Hall '-P 4 2'
_cell_length_a 5.526
_cell_length_b 5.526
_cell_length_c 4.782
_cell_angle_alpha 90.00
_cell_angle_beta 90.00
_cell_angle_gamma 90.00
loop_
_atom_site_label
_atom_site_fract_x
_atom_site_fract_y
_atom_site_fract_z
Ti1 0.000 0.000 0.000
Sb1 0.000 0.500 0.500
Se1 0.000 0.000 0.500
Cl1 0.500 0.500 0.000



Entry 2:
# Tl2SbSeCl3 | Alexandria via LeMat-Bulk | PBE | relaxed
# E = -3.275 eV/atom
# D(E_F) = 0.620 states/eV per cell
# raw formation energy = -0.72 eV per atom
data_Tl2SbSeCl3
_chemical_formula_sum 'Tl4 Sb2 Se2 Cl6'
_space_group_name_H-M_alt 'I m m m'
_space_group_IT_number 71
_space_group_name_Hall '-I 2 2'
_cell_length_a 5.395
_cell_length_b 5.549
_cell_length_c 15.856
_cell_angle_alpha 90.00
_cell_angle_beta 90.00
_cell_angle_gamma 90.00
loop_
_atom_site_label
_atom_site_fract_x
_atom_site_fract_y
_atom_site_fract_z
Tl1 0.000 0.000 0.133
Sb1 0.000 0.000 0.500
Se1 0.000 0.500 0.500
Cl1 0.000 0.000 0.332
Cl2 0.000 0.500 0.000



Entry 3:
# Tl5SbSe4Cl2 | Alexandria via LeMat-Bulk | PBE | relaxed
# E = -3.321 eV/atom
# raw formation energy = -0.52 eV per atom
data_Tl5SbSe4Cl2
_chemical_formula_sum 'Tl10 Sb2 Se8 Cl4'
_space_group_name_H-M_alt 'A m m 2'
_space_group_IT_number 38
_space_group_name_Hall 'A 2 -2'
_cell_length_a 10.151
_cell_length_b 10.284
_cell_length_c 8.127
_cell_angle_alpha 90.00
_cell_angle_beta 90.00
_cell_angle_gamma 90.00
loop_
_atom_site_label
_atom_site_fract_x
_atom_site_fract_y
_atom_site_fract_z
Tl1 0.000 0.000 0.000
Tl2 0.251 0.193 0.500
Sb1 0.500 0.000 0.950
Se1 0.295 0.000 0.127
Se2 0.500 0.203 0.779
Cl1 0.000 0.230 0.759



Entry 4:
# SiSbCl2 | Alexandria via LeMat-Bulk | PBE | relaxed
# E = -2.860 eV/atom
# D(E_F) = 10.038 states/eV per cell
# raw formation energy = 0.45 eV per atom
data_SiSbCl2
_chemical_formula_sum 'Si4 Sb4 Cl8'
_space_group_name_H-M_alt 'I -4 2 d'
_space_group_IT_number 122
_space_group_name_Hall 'I -4 2bw'
_cell_length_a 7.471
_cell_length_b 7.471
_cell_length_c 10.853
_cell_angle_alpha 90.00
_cell_angle_beta 90.00
_cell_angle_gamma 90.00
loop_
_atom_site_label
_atom_site_fract_x
_atom_site_fract_y
_atom_site_fract_z
Si1 0.000 0.000 0.000
Sb1 0.000 0.000 0.500
Cl1 0.062 0.250 0.125



Entry 5:
# Si4SbCl | Alexandria via LeMat-Bulk | PBE | relaxed
# E = -4.119 eV/atom
# D(E_F) = 11.355 states/eV per cell
# raw formation energy = 0.49 eV per atom
data_Si4SbCl
_chemical_formula_sum 'Si16 Sb4 Cl4'
_space_group_name_H-M_alt 'F -4 3 m'
_space_group_IT_number 216
_space_group_name_Hall 'F -4 2 3'
_cell_length_a 7.591
_cell_length_b 7.591
_cell_length_c 7.591
_cell_angle_alpha 90.00
_cell_angle_beta 90.00
_cell_angle_gamma 90.00
loop_
_atom_site_label
_atom_site_fract_x
_atom_site_fract_y
_atom_site_fract_z
Si1 0.123 0.123 0.123
Sb1 0.000 0.000 0.500
Cl1 0.250 0.250 0.750



Entry 6:
# SiSbCl2 | Alexandria via LeMat-Bulk | PBE | relaxed
# E = -3.313 eV/atom
# D(E_F) = 2.990 states/eV per cell
# raw formation energy = 0.00 eV per atom
data_SiSbCl2
_chemical_formula_sum 'Si3 Sb3 Cl6'
_space_group_name_H-M_alt 'R 3 m'
_space_group_IT_number 160
_space_group_name_Hall 'R 3 -2"'
_cell_length_a 3.4442
_cell_length_b 3.4442
_cell_length_c 28.3856
_cell_angle_alpha 90.00
_cell_angle_beta 90.00
_cell_angle_gamma 120.00
loop_
_atom_site_label
_atom_site_fract_x
_atom_site_fract_y
_atom_site_fract_z
Si1 0.0000 0.0000 0.0000
Sb1 0.0000 0.0000 0.7405
Cl1 0.0000 0.0000 0.2730
Cl2 0.0000 0.0000 0.4815



Entry 7:
# SiSbCl2 | Alexandria via LeMat-Bulk | PBE | relaxed
# E = -3.037 eV/atom
# D(E_F) = 3.597 states/eV per cell
# raw formation energy = 0.27 eV per atom
data_SiSbCl2
_chemical_formula_sum 'Si2 Sb2 Cl4'
_space_group_name_H-M_alt 'C m m m'
_space_group_IT_number 65
_space_group_name_Hall '-C 2 2'
_cell_length_a 6.201
_cell_length_b 9.072
_cell_length_c 3.127
_cell_angle_alpha 90.00
_cell_angle_beta 90.00
_cell_angle_gamma 90.00
loop_
_atom_site_label
_atom_site_fract_x
_atom_site_fract_y
_atom_site_fract_z
Si1 0.000 0.000 0.000
Sb1 0.000 0.500 0.000
Cl1 0.250 0.250 0.500



Entry 8:
# SiSbCl2 | Alexandria via LeMat-Bulk | PBE | relaxed
# E = -3.255 eV/atom
# D(E_F) = 5.459 states/eV per cell
# raw formation energy = 0.05 eV per atom
data_SiSbCl2
_chemical_formula_sum 'Si2 Sb2 Cl4'
_space_group_name_H-M_alt 'C m m m'
_space_group_IT_number 65
_space_group_name_Hall '-C 2 2'
_cell_length_a 3.263
_cell_length_b 5.774
_cell_length_c 11.039
_cell_angle_alpha 90.00
_cell_angle_beta 90.00
_cell_angle_gamma 90.00
loop_
_atom_site_label
_atom_site_fract_x
_atom_site_fract_y
_atom_site_fract_z
Si1 0.000 0.000 0.000
Sb1 0.000 0.000 0.500
Cl1 0.000 0.500 0.168